# KRh2Br

KRh2Br at its PBEsol-relaxed geometry (SCAN, Alexandria via LeMat-Bulk).

Structure (POSCAR):
```
KRh2Br
1.0
-1.1577 1.5710 3.3932
-3.7189 -0.8540 -0.8734
0.4974 -4.4442 2.2273
Br Rh K
1 2 1
Direct
0.5000 0.5000 0.5000 Br
0.5000 0.0000 0.0000 Rh
0.0000 0.5000 0.0000 Rh
0.0000 0.0000 0.5000 K
```

## Properties
E (eV per cell): -93.1
SG: P4/mmm (123)
Polymorph energy (0 for the lowest one) (meV/atom): 542
Uncorrected formation energy (meV per atom): 565